Entry 1:
# NaHg2RhW (GGA-PBEsol, relaxed)
data_NaHg2RhW
_cell_length_a 5.180
_cell_length_b 5.180
_cell_length_c 4.703
_cell_angle_alpha 90.00
_cell_angle_beta 90.00
_cell_angle_gamma 90.00
_space_group_name_H-M_alt 'P 4/m m m'
_space_group_IT_number 123
_space_group_name_Hall '-P 4 2'
loop_
_atom_site_label
_atom_site_type_symbol
_atom_site_fract_x
_atom_site_fract_y
_atom_site_fract_z
Na1 Na 0.000 0.000 0.000
Hg1 Hg 0.000 0.500 0.500
Rh1 Rh 0.500 0.500 0.500
W1 W 0.500 0.500 0.000
# DFT total energy: -20.3 eV for the cell shown

Entry 2:
# NaHg3S (GGA-PBEsol, relaxed)
data_NaHg3S
_cell_length_a 5.317
_cell_length_b 5.317
_cell_length_c 5.317
_cell_angle_alpha 90.00
_cell_angle_beta 90.00
_cell_angle_gamma 90.00
_space_group_name_H-M_alt 'P m -3 m'
_space_group_IT_number 221
_space_group_name_Hall '-P 4 2 3'
loop_
_atom_site_label
_atom_site_type_symbol
_atom_site_fract_x
_atom_site_fract_y
_atom_site_fract_z
Na1 Na 0.000 0.000 0.000
Hg1 Hg 0.000 0.500 0.500
S1 S 0.500 0.500 0.500
# Energy above the most stable polymorph in this dataset: 0 meV/atom
# ΔE_f (raw): 0.19 eV per atom

Entry 3:
# NaHg2S2 (GGA-PBEsol, relaxed)
data_NaHg2S2
_cell_length_a 4.967
_cell_length_b 4.967
_cell_length_c 9.457
_cell_angle_alpha 90.00
_cell_angle_beta 90.00
_cell_angle_gamma 90.00
_space_group_name_H-M_alt 'I 4/m m m'
_space_group_IT_number 139
_space_group_name_Hall '-I 4 2'
loop_
_atom_site_label
_atom_site_type_symbol
_atom_site_fract_x
_atom_site_fract_y
_atom_site_fract_z
Na1 Na 0.000 0.000 0.000
Hg1 Hg 0.000 0.000 0.357
S1 S 0.000 0.500 0.250
# ΔE_f (raw): -0.19 eV per atom

Entry 4:
# NaHg3S (GGA-PBEsol, relaxed)
data_NaHg3S
_cell_length_a 5.384
_cell_length_b 5.384
_cell_length_c 5.384
_cell_angle_alpha 90.00
_cell_angle_beta 90.00
_cell_angle_gamma 90.00
_space_group_name_H-M_alt 'P m -3 m'
_space_group_IT_number 221
_space_group_name_Hall '-P 4 2 3'
loop_
_atom_site_label
_atom_site_type_symbol
_atom_site_fract_x
_atom_site_fract_y
_atom_site_fract_z
Na1 Na 0.000 0.000 0.000
Hg1 Hg 0.000 0.000 0.500
S1 S 0.500 0.500 0.500
# Energy above the most stable polymorph in this dataset: 341 meV/atom
# ΔE_f (raw): 0.53 eV per atom

Entry 5:
# NaHgSb (GGA-PBEsol, relaxed)
data_NaHgSb
_cell_length_a 4.7848
_cell_length_b 4.7848
_cell_length_c 7.7055
_cell_angle_alpha 90.00
_cell_angle_beta 90.00
_cell_angle_gamma 120.00
_space_group_name_H-M_alt 'P 63 m c'
_space_group_IT_number 186
_space_group_name_Hall 'P 6c -2c'
loop_
_atom_site_label
_atom_site_type_symbol
_atom_site_fract_x
_atom_site_fract_y
_atom_site_fract_z
Na1 Na 0.0000 0.0000 0.0000
Hg1 Hg 0.3333 0.6667 0.1815
Sb1 Sb 0.3333 0.6667 0.7904
# ΔE_f (raw): -0.29 eV per atom

Entry 6:
# NaTcHg2Sb (GGA-PBEsol, relaxed)
data_NaTcHg2Sb
_cell_length_a 5.291
_cell_length_b 5.291
_cell_length_c 4.958
_cell_angle_alpha 90.00
_cell_angle_beta 90.00
_cell_angle_gamma 90.00
_space_group_name_H-M_alt 'P 4/m m m'
_space_group_IT_number 123
_space_group_name_Hall '-P 4 2'
loop_
_atom_site_label
_atom_site_type_symbol
_atom_site_fract_x
_atom_site_fract_y
_atom_site_fract_z
Na1 Na 0.000 0.000 0.000
Tc1 Tc 0.500 0.500 0.500
Hg1 Hg 0.000 0.500 0.500
Sb1 Sb 0.500 0.500 0.000
# ΔE_f (raw): 0.20 eV per atom

Entry 7:
# NaHgSbTe2 (GGA-PBEsol, relaxed)
data_NaHgSbTe2
_cell_length_a 5.718
_cell_length_b 5.718
_cell_length_c 5.409
_cell_angle_alpha 90.00
_cell_angle_beta 90.00
_cell_angle_gamma 90.00
_space_group_name_H-M_alt 'P 4/m m m'
_space_group_IT_number 123
_space_group_name_Hall '-P 4 2'
loop_
_atom_site_label
_atom_site_type_symbol
_atom_site_fract_x
_atom_site_fract_y
_atom_site_fract_z
Na1 Na 0.000 0.000 0.000
Hg1 Hg 0.500 0.500 0.500
Sb1 Sb 0.500 0.500 0.000
Te1 Te 0.000 0.500 0.500
# ΔE_f (raw): 0.29 eV per atom

Entry 8:
# Na3ScHg (GGA-PBEsol, relaxed)
data_Na3ScHg
_cell_length_a 6.268
_cell_length_b 6.268
_cell_length_c 6.268
_cell_angle_alpha 90.00
_cell_angle_beta 90.00
_cell_angle_gamma 90.00
_space_group_name_H-M_alt 'P m -3 m'
_space_group_IT_number 221
_space_group_name_Hall '-P 4 2 3'
loop_
_atom_site_label
_atom_site_type_symbol
_atom_site_fract_x
_atom_site_fract_y
_atom_site_fract_z
Na1 Na 0.000 0.000 0.500
Sc1 Sc 0.000 0.000 0.000
Hg1 Hg 0.500 0.500 0.500
# DFT total energy: -6.9 eV for the cell shown

Entry 9:
# Na2HgSe2 (GGA-PBEsol, relaxed)
data_Na2HgSe2
_cell_length_a 5.555
_cell_length_b 5.555
_cell_length_c 8.528
_cell_angle_alpha 90.00
_cell_angle_beta 90.00
_cell_angle_gamma 90.00
_space_group_name_H-M_alt 'I 4/m m m'
_space_group_IT_number 139
_space_group_name_Hall '-I 4 2'
loop_
_atom_site_label
_atom_site_type_symbol
_atom_site_fract_x
_atom_site_fract_y
_atom_site_fract_z
Na1 Na 0.000 0.500 0.250
Hg1 Hg 0.000 0.000 0.000
Se1 Se 0.000 0.000 0.356
# ΔE_f (raw): -0.58 eV per atom

Entry 10:
# NaHg3Se (GGA-PBEsol, relaxed)
data_NaHg3Se
_cell_length_a 5.509
_cell_length_b 5.509
_cell_length_c 5.509
_cell_angle_alpha 90.00
_cell_angle_beta 90.00
_cell_angle_gamma 90.00
_space_group_name_H-M_alt 'P m -3 m'
_space_group_IT_number 221
_space_group_name_Hall '-P 4 2 3'
loop_
_atom_site_label
_atom_site_type_symbol
_atom_site_fract_x
_atom_site_fract_y
_atom_site_fract_z
Na1 Na 0.000 0.000 0.000
Hg1 Hg 0.000 0.500 0.500
Se1 Se 0.500 0.500 0.500
# ΔE_f (raw): 0.17 eV per atom

Entry 11:
# NaHgSe2 (GGA-PBEsol, relaxed)
data_NaHgSe2
_cell_length_a 3.9743
_cell_length_b 3.9743
_cell_length_c 25.4202
_cell_angle_alpha 90.00
_cell_angle_beta 90.00
_cell_angle_gamma 120.00
_space_group_name_H-M_alt 'R -3 m'
_space_group_IT_number 166
_space_group_name_Hall '-R 3 2"'
loop_
_atom_site_label
_atom_site_type_symbol
_atom_site_fract_x
_atom_site_fract_y
_atom_site_fract_z
Na1 Na 0.0000 0.0000 0.0000
Hg1 Hg 0.0000 0.0000 0.5000
Se1 Se 0.0000 0.0000 0.1066
# ΔE_f (raw): -0.14 eV per atom

Entry 12:
# NaHg2Se2 (GGA-PBEsol, relaxed)
data_NaHg2Se2
_cell_length_a 4.162
_cell_length_b 4.162
_cell_length_c 14.028
_cell_angle_alpha 90.00
_cell_angle_beta 90.00
_cell_angle_gamma 90.00
_space_group_name_H-M_alt 'I 4/m m m'
_space_group_IT_number 139
_space_group_name_Hall '-I 4 2'
loop_
_atom_site_label
_atom_site_type_symbol
_atom_site_fract_x
_atom_site_fract_y
_atom_site_fract_z
Na1 Na 0.000 0.000 0.000
Hg1 Hg 0.000 0.500 0.250
Se1 Se 0.000 0.000 0.411
# ΔE_f (raw): -0.27 eV per atom